[1]
Density functional theory data (GGA-PBE) for crystalline KZrOs2F at its relaxed geometry.

abc: 4.4678 4.4253 4.4678
angles: 90.00 90.00 90.00
With the nearest neighbours (Å) after each atom.
Fractional positions:
Zr  0.5000  0.5000  0.5000  8 Os 3.14, 4 K 3.16
Os  0.0000  0.0000  0.5000  2 F 2.23
K  0.0000  0.5000  0.0000  2 F 2.21
Os  0.5000  0.0000  0.0000  2 F 2.23
F  0.0000  0.0000  0.0000  2 K 2.21, 4 Os 2.23

- formation energy from raw total energies (eV/atom) = 0.9734
- calculated total energy (eV/f.u.) = -29.1
- symmetry = P4/mmm

---

[2]
Density functional theory data (GGA-PBE) for crystalline KP2F8 at its relaxed geometry.

abc: 8.0046 5.5709 5.5709
angles: 71.74 57.94 57.94
With the nearest neighbours (Å) after each atom.
Fractional positions:
F  0.3014  0.4307  0.9169  1 P 1.68
F  0.0444  0.3187  0.3187  1 P 1.63
P  0.6855  0.8360  0.8360  4 F 1.59-1.68
F  0.3014  0.9169  0.4307  1 P 1.68
F  0.6986  0.0831  0.5693  1 P 1.68
K  0.0000  0.0000  0.0000  4 F 2.78
F  0.9556  0.6813  0.6813  1 P 1.63
F  0.6239  0.7007  0.7007  1 P 1.59
F  0.6986  0.5693  0.0831  1 P 1.68
F  0.3761  0.2993  0.2993  1 P 1.59
P  0.3145  0.1640  0.1640  4 F 1.59-1.68

- formation energy from raw total energies (eV/atom) = -2.3656
- calculated total energy (eV/f.u.) = -52.9
- symmetry = C2/m

---

[3]
Density functional theory data (GGA-PBE) for crystalline K12P3F5 at its relaxed geometry.

abc: 14.8411 14.8411 14.8411
angles: 109.47 109.47 109.47
With the nearest neighbours (Å) after each atom.
Fractional positions:
F  0.2500  0.3750  0.6250  4 K 2.56
K  0.6788  0.4714  0.5956  2 F 2.56-2.81
K  0.3212  0.5286  0.4044  2 F 2.56-2.81
K  0.6788  0.2074  0.5832  2 F 2.56-2.81
K  0.4168  0.1242  0.5956  2 F 2.56-2.81
P  0.3750  0.6250  0.2500  8 K 3.25-3.39
K  0.0286  0.4044  0.8212  2 F 2.56-2.81
F  0.5000  0.0000  0.5000  6 K 2.81
K  0.5956  0.6242  0.4168  2 F 2.56-2.81
P  0.8750  0.1250  0.2500  8 K 3.25-3.39
F  0.8750  0.2500  0.6250  4 K 2.56
F  0.0000  0.0000  0.5000  6 K 2.81
K  0.8212  0.9168  0.2926  2 F 2.56-2.81
K  0.0286  0.6242  0.7074  2 F 2.56-2.81
K  0.7926  0.3212  0.9168  2 F 2.56-2.81
F  0.6250  0.8750  0.2500  4 K 2.56
K  0.9168  0.8212  0.7926  2 F 2.56-2.81
K  0.9714  0.3758  0.2926  2 F 2.56-2.81
F  0.0000  0.5000  0.0000  6 K 2.81
F  0.0000  0.0000  0.0000  6 K 2.81
K  0.4714  0.6788  0.0956  2 F 2.56-2.81
K  0.2074  0.5286  0.6242  2 F 2.56-2.81
K  0.2926  0.8758  0.9714  2 F 2.56-2.81
P  0.7500  0.8750  0.6250  8 K 3.25-3.39
P  0.2500  0.1250  0.3750  8 K 3.25-3.39
K  0.7926  0.4714  0.3758  2 F 2.56-2.81
P  0.7500  0.3750  0.1250  8 K 3.25-3.39
K  0.1788  0.0956  0.9714  2 F 2.56-2.81
K  0.7074  0.1242  0.0286  2 F 2.56-2.81
K  0.9044  0.0832  0.8758  2 F 2.56-2.81
K  0.2074  0.6788  0.0832  2 F 2.56-2.81
K  0.3758  0.9714  0.7926  2 F 2.56-2.81
P  0.1250  0.8750  0.7500  8 K 3.25-3.39
F  0.5000  0.5000  0.0000  6 K 2.81
F  0.7500  0.1250  0.8750  4 K 2.56
K  0.5286  0.3212  0.9044  2 F 2.56-2.81
K  0.5286  0.2074  0.1242  2 F 2.56-2.81
P  0.2500  0.6250  0.8750  8 K 3.25-3.39
K  0.3758  0.4044  0.0832  2 F 2.56-2.81
P  0.6250  0.3750  0.7500  8 K 3.25-3.39
K  0.8758  0.2926  0.4714  2 F 2.56-2.81
K  0.9714  0.5956  0.1788  2 F 2.56-2.81
K  0.1242  0.4168  0.0956  2 F 2.56-2.81
F  0.2500  0.8750  0.1250  4 K 2.56
F  0.1250  0.7500  0.3750  4 K 2.56
K  0.5956  0.9714  0.6788  2 F 2.56-2.81
F  0.6250  0.7500  0.8750  4 K 2.56
F  0.5000  0.5000  0.5000  6 K 2.81
K  0.4714  0.7926  0.8758  2 F 2.56-2.81
P  0.1250  0.2500  0.8750  8 K 3.25-3.39
K  0.4044  0.0286  0.3212  2 F 2.56-2.81
K  0.6242  0.0286  0.2074  2 F 2.56-2.81
F  0.3750  0.1250  0.7500  4 K 2.56
K  0.2926  0.4168  0.8212  2 F 2.56-2.81
K  0.0956  0.9168  0.1242  2 F 2.56-2.81
F  0.0000  0.5000  0.5000  6 K 2.81
K  0.3212  0.7926  0.4168  2 F 2.56-2.81
K  0.8212  0.9044  0.0286  2 F 2.56-2.81
K  0.0956  0.1788  0.4714  2 F 2.56-2.81
K  0.4168  0.2926  0.3212  2 F 2.56-2.81
K  0.1242  0.7074  0.5286  2 F 2.56-2.81
F  0.1250  0.3750  0.2500  4 K 2.56
K  0.5832  0.7074  0.6788  2 F 2.56-2.81
K  0.0832  0.9044  0.3758  2 F 2.56-2.81
K  0.5832  0.8758  0.4044  2 F 2.56-2.81
F  0.5000  0.0000  0.0000  6 K 2.81
P  0.6250  0.2500  0.3750  8 K 3.25-3.39
P  0.8750  0.7500  0.1250  8 K 3.25-3.39
K  0.0832  0.1788  0.2074  2 F 2.56-2.81
P  0.3750  0.7500  0.6250  8 K 3.25-3.39
K  0.9044  0.8212  0.5286  2 F 2.56-2.81
K  0.1788  0.0832  0.7074  2 F 2.56-2.81
K  0.8758  0.5832  0.9044  2 F 2.56-2.81
F  0.8750  0.6250  0.7500  4 K 2.56
F  0.7500  0.6250  0.3750  4 K 2.56
K  0.6242  0.5956  0.9168  2 F 2.56-2.81
K  0.9168  0.0956  0.6242  2 F 2.56-2.81
F  0.3750  0.2500  0.1250  4 K 2.56
K  0.7074  0.5832  0.1788  2 F 2.56-2.81
K  0.4044  0.3758  0.5832  2 F 2.56-2.81

- formation energy from raw total energies (eV/atom) = -1.3885
- calculated total energy (eV/f.u.) = -66.5
- symmetry = Ia-3d